Record 1
DFT (GGA-PBE) results for an optimized crystal structure of NdDyIrO6. Values from VASP.

Symmetry = No. 163
Final energy = -7.506 eV/atom

The structure in Quantum ESPRESSO input format:
```
&SYSTEM
  ibrav = 0, nat = 18, ntyp = 4
/
ATOMIC_SPECIES
O 16.00 O.upf
Ir 192.22 Ir.upf
Nd 144.24 Nd.upf
Dy 162.50 Dy.upf
ATOMIC_POSITIONS crystal
O 0.334 0.959 0.638
O 0.959 0.625 0.362
O 0.666 0.041 0.362
O 0.375 0.334 0.362
O 0.334 0.375 0.862
O 0.666 0.625 0.138
O 0.041 0.375 0.638
O 0.041 0.666 0.862
O 0.625 0.666 0.638
O 0.375 0.041 0.138
O 0.625 0.959 0.862
O 0.959 0.334 0.138
Ir 0.667 0.333 0.250
Ir 0.333 0.667 0.750
Nd 0.000 0.000 0.000
Nd 0.000 0.000 0.500
Dy 0.667 0.333 0.750
Dy 0.333 0.667 0.250
CELL_PARAMETERS angstrom
5.536 0.000 0.000
-2.768 4.794 0.000
0.000 0.000 9.954
```

***

Record 2
DFT (GGA-PBE) results for an optimized crystal structure of NdDyIrRh. Values from VASP.

Energy of formation from the pure elements = -0.73 eV per atom
Symmetry = No. 216

The structure in Quantum ESPRESSO input format:
```
&SYSTEM
  ibrav = 0, nat = 4, ntyp = 4
/
ATOMIC_SPECIES
Dy 162.50 Dy.upf
Rh 102.91 Rh.upf
Ir 192.22 Ir.upf
Nd 144.24 Nd.upf
ATOMIC_POSITIONS crystal
Dy 0.500 0.500 0.500
Rh 0.250 0.250 0.250
Ir 0.750 0.750 0.750
Nd 0.000 0.000 0.000
CELL_PARAMETERS angstrom
4.931 0.000 0.000
2.465 4.270 0.000
2.465 1.423 4.026
```